1 | Density functional theory data (PBE) for a relaxed HfFeSbTe2 crystal.

Unit cell a=5.5015 b=5.5015 c=5.5806 alpha=90.00 beta=90.00 gamma=90.00
With the nearest neighbours (Å) after each atom.
Space group P4/mmm (No. 123)
Unique sites:
Hf  0.0000  0.0000  0.0000 (multiplicity 1)  4 Te 2.75, 2 Sb 2.79
Fe  0.5000  0.5000  0.5000 (multiplicity 1)  4 Sb 3.89, 8 Te 3.92
Sb  0.0000  0.0000  0.5000 (multiplicity 1)  2 Hf 2.79
Te  0.0000  0.5000  0.0000 (multiplicity 2)  2 Hf 2.75

2 | Density functional theory data (PBE) for a relaxed HfFeSbTe2 crystal.

Unit cell a=5.1072 b=5.1072 c=4.8023 alpha=90.00 beta=90.00 gamma=90.00
With the nearest neighbours (Å) after each atom.
Space group P4/mmm (No. 123)
Unique sites:
Hf  0.0000  0.0000  0.0000 (multiplicity 1)  8 Te 3.51, 4 Sb 3.61
Fe  0.5000  0.5000  0.5000 (multiplicity 1)  2 Sb 2.40, 4 Te 2.55
Sb  0.5000  0.5000  0.0000 (multiplicity 1)  2 Fe 2.40
Te  0.0000  0.5000  0.5000 (multiplicity 2)  2 Fe 2.55

Most stable = 2

1 | Density functional theory data (PBE) for a relaxed HfFeSb2Te crystal.

Unit cell a=5.5128 b=5.5128 c=5.4680 alpha=90.00 beta=90.00 gamma=90.00
With the nearest neighbours (Å) after each atom.
Space group P4/mmm (No. 123)
Unique sites:
Hf  0.0000  0.0000  0.0000 (multiplicity 1)  2 Te 2.73, 4 Sb 2.76
Fe  0.5000  0.5000  0.5000 (multiplicity 1)  8 Sb 3.88, 4 Te 3.90
Sb  0.0000  0.5000  0.0000 (multiplicity 2)  2 Hf 2.76
Te  0.0000  0.0000  0.5000 (multiplicity 1)  2 Hf 2.73

2 | Density functional theory data (PBE) for a relaxed HfFeSb2Te crystal.

Unit cell a=4.8086 b=4.8086 c=5.3626 alpha=90.00 beta=90.00 gamma=90.00
With the nearest neighbours (Å) after each atom.
Space group P4/mmm (No. 123)
Unique sites:
Hf  0.0000  0.0000  0.0000 (multiplicity 1)  4 Te 3.40, 8 Sb 3.60
Fe  0.5000  0.5000  0.5000 (multiplicity 1)  4 Sb 2.40, 2 Te 2.68
Sb  0.0000  0.5000  0.5000 (multiplicity 2)  2 Fe 2.40
Te  0.5000  0.5000  0.0000 (multiplicity 1)  2 Fe 2.68

Most stable = 2

1 | Density functional theory data (PBE) for a relaxed Hf3ScFe crystal.

Unit cell a=4.8218 b=4.8218 c=4.8218 alpha=90.00 beta=90.00 gamma=90.00
With the nearest neighbours (Å) after each atom.
Space group Pm-3m (No. 221)
Unique sites:
Hf  0.0000  0.0000  0.5000 (multiplicity 3)  2 Fe 2.41
Sc  0.5000  0.5000  0.5000 (multiplicity 1)  12 Hf 3.41
Fe  0.0000  0.0000  0.0000 (multiplicity 1)  6 Hf 2.41

2 | Density functional theory data (PBE) for a relaxed Hf3ScFe crystal.

Unit cell a=4.8608 b=4.8608 c=4.8608 alpha=90.00 beta=90.00 gamma=90.00
With the nearest neighbours (Å) after each atom.
Space group Pm-3m (No. 221)
Unique sites:
Hf  0.0000  0.0000  0.5000 (multiplicity 3)  2 Sc 2.43
Sc  0.0000  0.0000  0.0000 (multiplicity 1)  6 Hf 2.43
Fe  0.5000  0.5000  0.5000 (multiplicity 1)  12 Hf 3.44

Most stable = 1

1 | Density functional theory data (PBE) for a relaxed HfSc2Fe2 crystal.

Unit cell a=7.6904 b=7.6904 c=2.9102 alpha=90.00 beta=90.00 gamma=90.00
With the nearest neighbours (Å) after each atom.
Space group P4/mbm (No. 127)
Unique sites:
Hf  0.0000  0.0000  0.0000 (multiplicity 2)  2 Hf 2.91, 4 Sc 3.02, 8 Fe 3.18
Sc  0.1287  0.3713  0.0000 (multiplicity 4)  6 Fe 2.55-2.81, 1 Sc 2.80
Fe  0.1791  0.6791  0.5000 (multiplicity 4)  6 Sc 2.55-2.81

2 | Density functional theory data (PBE) for a relaxed HfSc2Fe2 crystal.

Unit cell a=7.1770 b=7.1770 c=3.3169 alpha=90.00 beta=90.00 gamma=90.00
With the nearest neighbours (Å) after each atom.
Space group P4/mbm (No. 127)
Unique sites:
Hf  0.0000  0.0000  0.0000 (multiplicity 2)  4 Fe 2.72
Sc  0.1495  0.3505  0.5000 (multiplicity 4)  6 Fe 2.61-2.73
Fe  0.1521  0.6521  0.0000 (multiplicity 4)  6 Sc 2.61-2.73, 2 Hf 2.72

3 | Density functional theory data (PBE) for a relaxed HfSc2Fe2 crystal.

Unit cell a=4.3877 b=4.3877 c=9.1363 alpha=90.00 beta=90.00 gamma=90.00
With the nearest neighbours (Å) after each atom.
Space group I4/mmm (No. 139)
Unique sites:
Hf  0.0000  0.0000  0.0000 (multiplicity 2)  8 Fe 3.17, 10 Sc 3.24-3.37
Sc  0.0000  0.0000  0.3548 (multiplicity 4)  4 Fe 2.39, 1 Sc 2.65
Fe  0.0000  0.5000  0.2500 (multiplicity 4)  4 Sc 2.39

Most stable = 2

1 | Density functional theory data (PBE) for a relaxed Hf2Fe2Si crystal.

Unit cell a=7.2755 b=7.2755 c=3.0854 alpha=90.00 beta=90.00 gamma=90.00
With the nearest neighbours (Å) after each atom.
Space group P4/mbm (No. 127)
Unique sites:
Hf  0.1550  0.3450  0.0000 (multiplicity 4)  6 Fe 2.61-2.65, 2 Si 2.75
Fe  0.1409  0.6409  0.5000 (multiplicity 4)  6 Hf 2.61-2.65, 1 Fe 2.90
Si  0.0000  0.0000  0.0000 (multiplicity 2)  4 Hf 2.75

2 | Density functional theory data (PBE) for a relaxed Hf2Fe2Si crystal.

Unit cell a=6.0011 b=6.0011 c=4.2286 alpha=90.00 beta=90.00 gamma=90.00
With the nearest neighbours (Å) after each atom.
Space group P4/mbm (No. 127)
Unique sites:
Hf  0.1847  0.3153  0.0000 (multiplicity 4)  6 Fe 2.65-2.84
Fe  0.1273  0.6273  0.5000 (multiplicity 4)  1 Fe 2.16, 2 Si 2.36
Si  0.0000  0.0000  0.5000 (multiplicity 2)  4 Fe 2.36

Most stable = 2

1 | Density functional theory data (PBE) for a relaxed HfFe3Si crystal.

Unit cell a=4.5588 b=4.5588 c=4.5588 alpha=90.00 beta=90.00 gamma=90.00
With the nearest neighbours (Å) after each atom.
Space group Pm-3m (No. 221)
Unique sites:
Hf  0.0000  0.0000  0.0000 (multiplicity 1)  6 Fe 2.28
Fe  0.0000  0.0000  0.5000 (multiplicity 3)  2 Hf 2.28
Si  0.5000  0.5000  0.5000 (multiplicity 1)  12 Fe 3.22

2 | Density functional theory data (PBE) for a relaxed HfFe3Si crystal.

Unit cell a=4.1483 b=4.1483 c=4.1483 alpha=90.00 beta=90.00 gamma=90.00
With the nearest neighbours (Å) after each atom.
Space group Pm-3m (No. 221)
Unique sites:
Hf  0.0000  0.0000  0.0000 (multiplicity 1)  12 Fe 2.93
Fe  0.0000  0.5000  0.5000 (multiplicity 3)  2 Si 2.07
Si  0.5000  0.5000  0.5000 (multiplicity 1)  6 Fe 2.07

Most stable = 2

1 | Density functional theory data (PBE) for a relaxed SrHf2Fe crystal.

Unit cell a=6.9083 b=6.9083 c=6.9083 alpha=90.00 beta=90.00 gamma=90.00
With the nearest neighbours (Å) after each atom.
Space group Fm-3m (No. 225)
Unique sites:
Sr  0.0000  0.0000  0.0000 (multiplicity 4)  8 Hf 2.99
Hf  0.2500  0.2500  0.2500 (multiplicity 8)  4 Fe 2.99, 4 Sr 2.99
Fe  0.0000  0.0000  0.5000 (multiplicity 4)  8 Hf 2.99

2 | Density functional theory data (PBE) for a relaxed SrHf2Fe crystal.

Unit cell a=6.7337 b=6.7337 c=11.9478 alpha=90.00 beta=90.00 gamma=90.00
With the nearest neighbours (Å) after each atom.
Space group I4_1/amd (No. 141, origin choice 2)
Unique sites:
Sr  0.0000  0.2500  0.3750 (multiplicity 4)  8 Hf 4.05, 4 Fe 4.50, 4 Sr 4.50
Hf  0.0000  0.0000  0.0000 (multiplicity 8)  2 Fe 2.25
Fe  0.0000  0.2500  0.8750 (multiplicity 4)  4 Hf 2.25

Most stable = 1

1 | Density functional theory data (PBE) for a relaxed HfTa3Fe crystal.

Unit cell a=4.6164 b=4.6164 c=4.6164 alpha=90.00 beta=90.00 gamma=90.00
With the nearest neighbours (Å) after each atom.
Space group Pm-3m (No. 221)
Unique sites:
Hf  0.0000  0.0000  0.0000 (multiplicity 1)  12 Ta 3.26
Ta  0.0000  0.5000  0.5000 (multiplicity 3)  2 Fe 2.31
Fe  0.5000  0.5000  0.5000 (multiplicity 1)  6 Ta 2.31

2 | Density functional theory data (PBE) for a relaxed HfTa3Fe crystal.

Unit cell a=4.8385 b=4.8385 c=4.8385 alpha=90.00 beta=90.00 gamma=90.00
With the nearest neighbours (Å) after each atom.
Space group Pm-3m (No. 221)
Unique sites:
Hf  0.0000  0.0000  0.0000 (multiplicity 1)  6 Ta 2.42
Ta  0.0000  0.0000  0.5000 (multiplicity 3)  2 Hf 2.42
Fe  0.5000  0.5000  0.5000 (multiplicity 1)  12 Ta 3.42

Most stable = 1

1 | Density functional theory data (PBE) for a relaxed HfTa2Fe2 crystal.

Unit cell a=3.8970 b=3.8970 c=11.3670 alpha=90.00 beta=90.00 gamma=90.00
With the nearest neighbours (Å) after each atom.
Space group I4/mmm (No. 139)
Unique sites:
Hf  0.0000  0.0000  0.0000 (multiplicity 2)  8 Ta 3.09, 8 Fe 3.45
Ta  0.0000  0.0000  0.3765 (multiplicity 4)  4 Fe 2.42
Fe  0.0000  0.5000  0.2500 (multiplicity 4)  4 Ta 2.42

2 | Density functional theory data (PBE) for a relaxed HfTa2Fe2 crystal.

Unit cell a=4.1660 b=4.1660 c=9.7393 alpha=90.00 beta=90.00 gamma=90.00
With the nearest neighbours (Å) after each atom.
Space group I4/mmm (No. 139)
Unique sites:
Hf  0.0000  0.0000  0.0000 (multiplicity 2)  8 Fe 3.13, 8 Ta 3.20
Ta  0.0000  0.5000  0.2500 (multiplicity 4)  4 Fe 2.49
Fe  0.0000  0.0000  0.3900 (multiplicity 4)  1 Fe 2.14

3 | Density functional theory data (PBE) for a relaxed HfTa2Fe2 crystal.

Unit cell a=7.4795 b=7.4795 c=2.8377 alpha=90.00 beta=90.00 gamma=90.00
With the nearest neighbours (Å) after each atom.
Space group P4/mbm (No. 127)
Unique sites:
Hf  0.0000  0.0000  0.0000 (multiplicity 2)  2 Hf 2.84, 4 Ta 2.86
Ta  0.1465  0.3535  0.0000 (multiplicity 4)  6 Fe 2.60-2.62, 2 Ta 2.84, 2 Hf 2.86
Fe  0.1473  0.6473  0.5000 (multiplicity 4)  6 Ta 2.60-2.62, 2 Fe 2.84

Most stable = 2

1 | Density functional theory data (PBE) for a relaxed HfTaFe crystal.

Unit cell a=3.1357 b=3.1357 c=10.1336 alpha=90.00 beta=90.00 gamma=90.00
With the nearest neighbours (Å) after each atom.
Space group I4mm (No. 107)
Unique sites:
Hf  0.0000  0.0000  0.0000 (multiplicity 2)  4 Fe 2.76, 5 Ta 2.97-3.09
Ta  0.0000  0.0000  0.3050 (multiplicity 2)  4 Fe 2.64
Fe  0.0000  0.0000  0.6627 (multiplicity 2)  4 Ta 2.64, 4 Hf 2.76

2 | Density functional theory data (PBE) for a relaxed HfTaFe crystal.

Unit cell a=7.3563 b=4.2775 c=4.2743 alpha=90.00 beta=124.65 gamma=90.00
With the nearest neighbours (Å) after each atom.
Space group Cm (No. 8)
Unique sites:
Hf  0.0000  0.0000  0.0000 (multiplicity 2)  4 Fe 2.61-2.63
Ta  0.0001  0.5000  0.5000 (multiplicity 2)  4 Fe 2.59-2.64
Fe  0.2501  0.0000  0.7487 (multiplicity 2)  4 Ta 2.59-2.64, 4 Hf 2.61-2.63

Most stable = 1

1 | Density functional theory data (PBE) for a relaxed HfTaFeTc crystal.

Unit cell a=6.3249 b=6.3249 c=6.3249 alpha=90.00 beta=90.00 gamma=90.00
With the nearest neighbours (Å) after each atom.
Space group F-43m (No. 216)
Unique sites:
Hf  0.0000  0.0000  0.0000 (multiplicity 4)  4 Tc 2.74, 4 Fe 2.74
Ta  0.0000  0.0000  0.5000 (multiplicity 4)  4 Fe 2.74, 4 Tc 2.74
Fe  0.2500  0.2500  0.2500 (multiplicity 4)  4 Hf 2.74, 4 Ta 2.74
Tc  0.2500  0.2500  0.7500 (multiplicity 4)  4 Ta 2.74, 4 Hf 2.74

2 | Density functional theory data (PBE) for a relaxed HfTaFeTc crystal.

Unit cell a=3.1736 b=3.1736 c=6.3023 alpha=90.00 beta=90.00 gamma=90.00
With the nearest neighbours (Å) after each atom.
Space group P4mm (No. 99)
Unique sites:
Hf  0.0000  0.0000  0.0000 (multiplicity 1)  4 Fe 2.75, 4 Tc 2.80
Ta  0.0000  0.0000  0.4898 (multiplicity 1)  4 Fe 2.69, 4 Tc 2.72
Fe  0.5000  0.5000  0.2532 (multiplicity 1)  4 Ta 2.69, 4 Hf 2.75
Tc  0.5000  0.5000  0.7340 (multiplicity 1)  4 Ta 2.72, 4 Hf 2.80, 1 Fe 3.03

Most stable = 2

1 | Density functional theory data (PBE) for a relaxed HfFeTc3 crystal.

Unit cell a=4.4165 b=4.4165 c=4.4165 alpha=90.00 beta=90.00 gamma=90.00
With the nearest neighbours (Å) after each atom.
Space group Pm-3m (No. 221)
Unique sites:
Hf  0.0000  0.0000  0.0000 (multiplicity 1)  12 Tc 3.12
Fe  0.5000  0.5000  0.5000 (multiplicity 1)  6 Tc 2.21
Tc  0.0000  0.5000  0.5000 (multiplicity 3)  2 Fe 2.21

2 | Density functional theory data (PBE) for a relaxed HfFeTc3 crystal.

Unit cell a=4.6606 b=4.6606 c=4.6606 alpha=90.00 beta=90.00 gamma=90.00
With the nearest neighbours (Å) after each atom.
Space group Pm-3m (No. 221)
Unique sites:
Hf  0.0000  0.0000  0.0000 (multiplicity 1)  6 Tc 2.33
Fe  0.5000  0.5000  0.5000 (multiplicity 1)  12 Tc 3.30
Tc  0.0000  0.0000  0.5000 (multiplicity 3)  2 Hf 2.33

Most stable = 1